Entry 1:
The following is a PBE calculation of a geometry-optimized LiTaAgAu structure, from OQMD via LeMat-Bulk.

```
data_LiTaAgAu
_cell_length_a 4.513
_cell_length_b 4.513
_cell_length_c 4.513
_cell_angle_alpha 60.00
_cell_angle_beta 60.00
_cell_angle_gamma 60.00
_symmetry_space_group_name_H-M 'P 1'
_symmetry_Int_Tables_number 1
_symmetry_space_group_name_Hall 'P 1'
loop_
_atom_site_label
_atom_site_type_symbol
_atom_site_fract_x
_atom_site_fract_y
_atom_site_fract_z
Au1 Au 0.750 0.750 0.750
Ag1 Ag 0.500 0.500 0.500
Li1 Li 0.250 0.250 0.250
Ta1 Ta 0.000 0.000 0.000
```

The value obtained for the polymorph energy (0 for the lowest one) is 0.047 eV/atom.

=====

Entry 2:
The following is a PBE calculation of a geometry-optimized LiTaAgAu structure, from OQMD via LeMat-Bulk.

```
data_LiTaAgAu
_cell_length_a 4.502
_cell_length_b 4.502
_cell_length_c 4.502
_cell_angle_alpha 60.00
_cell_angle_beta 60.00
_cell_angle_gamma 60.00
_symmetry_space_group_name_H-M 'P 1'
_symmetry_Int_Tables_number 1
_symmetry_space_group_name_Hall 'P 1'
loop_
_atom_site_label
_atom_site_type_symbol
_atom_site_fract_x
_atom_site_fract_y
_atom_site_fract_z
Ta1 Ta 0.250 0.250 0.250
Ag1 Ag 0.000 0.000 0.000
Au1 Au 0.750 0.750 0.750
Li1 Li 0.500 0.500 0.500
```

The value obtained for the polymorph energy (0 for the lowest one) is 0.190 eV/atom.

=====

Entry 3:
The following is a PBE calculation of a geometry-optimized LiTlAgAu structure, from OQMD via LeMat-Bulk.

```
data_LiTlAgAu
_cell_length_a 4.767
_cell_length_b 4.767
_cell_length_c 4.767
_cell_angle_alpha 60.00
_cell_angle_beta 60.00
_cell_angle_gamma 60.00
_symmetry_space_group_name_H-M 'P 1'
_symmetry_Int_Tables_number 1
_symmetry_space_group_name_Hall 'P 1'
loop_
_atom_site_label
_atom_site_type_symbol
_atom_site_fract_x
_atom_site_fract_y
_atom_site_fract_z
Ag1 Ag 0.500 0.500 0.500
Tl1 Tl 0.000 0.000 0.000
Li1 Li 0.750 0.750 0.750
Au1 Au 0.250 0.250 0.250
```

The value obtained for the polymorph energy (0 for the lowest one) is 0.000 eV/atom.